Entry 1:
PrSc2S3 (PBE, relaxed); uncorrected formation energy = -1.357 eV per atom; raw total energy = -6.327 eV per atom; space group = No. 63
1.0
5.7184 0.0000 0.0000
0.0000 7.6689 0.2128
0.0000 -1.7400 7.4719
S Pr Sc
6 2 4
Direct
0.7500 0.5524 0.7655 S
0.7500 0.0967 0.9033 S
0.2500 0.7655 0.5524 S
0.2500 0.9033 0.0967 S
0.2500 0.4476 0.2345 S
0.7500 0.2345 0.4476 S
0.7500 0.6029 0.3971 Pr
0.2500 0.3971 0.6029 Pr
0.5000 0.8228 0.8228 Sc
0.0000 0.1772 0.1772 Sc
0.5000 0.1772 0.1772 Sc
0.0000 0.8228 0.8228 Sc

Entry 2:
Rb2TbTlI6 (PBE, relaxed); uncorrected formation energy = -1.298 eV per atom; raw total energy = -3.121 eV per atom; space group = No. 146
1.0
8.8906 0.0011 0.0010
4.4462 7.6988 0.0004
4.4459 2.5669 7.4194
I Tl Tb Rb
6 1 1 2
Direct
0.4523 0.6557 0.7835 I
0.1083 0.4523 0.7836 I
0.6559 0.1082 0.7837 I
0.1861 0.9961 0.2597 I
0.9960 0.5581 0.2597 I
0.5579 0.1861 0.2598 I
0.8169 0.8169 0.5494 Tl
0.3227 0.3227 0.0318 Tb
0.5374 0.5372 0.3880 Rb
0.0280 0.0281 0.9160 Rb

Entry 3:
Li2La2Tl (PBE, relaxed); E above lowest polymorph = 0.000 eV per atom; raw total energy = -3.350 eV per atom; formation energy = -0.14 eV per atom; space group = No. 15
1.0
6.6121 0.0000 1.9972
2.9596 5.4268 2.1455
1.0786 1.0597 8.3729
La Li Tl
4 4 2
Direct
0.6144 0.7722 0.8486 La
0.7648 0.2722 0.3486 La
0.2352 0.7278 0.6514 La
0.3856 0.2278 0.1514 La
0.9404 0.8035 0.0581 Li
0.1980 0.3035 0.5581 Li
0.0596 0.1965 0.9419 Li
0.8020 0.6965 0.4419 Li
0.7669 0.2500 0.7500 Tl
0.2331 0.7500 0.2500 Tl

Entry 4:
Ru3PtBr (PBE, relaxed); E above lowest polymorph = 0.000 eV per atom; uncorrected formation energy = 1.618 eV per atom; raw total energy = -5.490 eV per atom; space group = No. 221
1.0
4.5112 0.0000 0.0000
0.0000 4.5112 0.0000
0.0000 0.0000 4.5112
Ru Br Pt
3 1 1
Direct
0.0000 0.5000 0.0000 Ru
0.5000 0.0000 0.0000 Ru
0.0000 0.0000 0.5000 Ru
0.0000 0.0000 0.0000 Br
0.5000 0.5000 0.5000 Pt

Entry 5:
Fe2SiBr (PBE, relaxed); E above lowest polymorph = 0.049 eV per atom; uncorrected formation energy = 0.126 eV per atom; raw total energy = -5.879 eV per atom; space group = No. 47
1.0
-0.2762 -2.9760 0.2382
3.0673 -0.2270 0.7201
-1.4428 0.6420 6.3473
Fe Br Si
2 1 1
Direct
0.0000 0.7500 0.4249 Fe
0.0000 0.7500 0.0751 Fe
0.5000 0.7500 0.7500 Br
0.5000 0.2500 0.2500 Si

Entry 6:
DyErScTl (PBE, relaxed); E above lowest polymorph = 0.000 eV per atom; raw total energy = -4.637 eV per atom; formation energy = -0.17 eV per atom; space group = No. 47
1.0
4.7095 0.0000 0.0000
0.0000 4.7366 0.0000
0.0000 0.0000 4.7548
Tl Sc Dy Er
1 1 1 1
Direct
0.0000 0.5000 0.5000 Tl
0.0000 0.0000 0.0000 Sc
0.5000 0.5000 0.0000 Dy
0.5000 0.0000 0.5000 Er

Entry 7:
Ca2InPt2 (PBE, relaxed); raw total energy = -4.663 eV per atom; formation energy = -0.90 eV per atom; space group = No. 15
1.0
-3.8364 -0.5182 -4.3555
-0.6889 -5.0381 -2.8461
-6.5331 -3.3063 3.7225
Pt Ca In
4 4 2
Direct
0.0021 0.7255 0.5030 Pt
0.2745 0.9979 0.9970 Pt
0.9979 0.2745 0.4970 Pt
0.7255 0.0021 0.0030 Pt
0.7969 0.5010 0.8507 Ca
0.4990 0.2031 0.6493 Ca
0.2031 0.4990 0.1493 Ca
0.5010 0.7969 0.3507 Ca
0.1553 0.8447 0.7500 In
0.8447 0.1553 0.2500 In

Entry 8:
PrSc2Pa (PBE, relaxed); E above lowest polymorph = 0.000 eV per atom; raw total energy = -6.634 eV per atom; formation energy = 0.10 eV per atom; space group = No. 160
1.0
-1.2275 -2.9504 -0.9038
-0.9391 -2.1875 2.3154
-10.9895 2.5898 0.3708
Sc Pa Pr
2 1 1
Direct
0.0877 0.0877 0.7369 Sc
0.2458 0.2458 0.2626 Sc
0.5001 0.5001 0.4997 Pa
0.6664 0.6664 0.0008 Pr

Entry 9:
In2SiPdAu (PBE, relaxed); uncorrected formation energy = 0.471 eV per atom; raw total energy = -3.403 eV per atom; space group = No. 123
1.0
5.2352 0.0000 0.0000
0.0000 4.6148 0.0000
0.0000 0.0000 5.2352
In Si Pd Au
2 1 1 1
Direct
0.0000 0.0000 0.5000 In
0.5000 0.0000 0.0000 In
0.0000 0.0000 0.0000 Si
0.5000 0.5000 0.5000 Pd
0.0000 0.5000 0.0000 Au

Entry 10:
Rb3CdBr6 (PBE, relaxed); E above lowest polymorph = 0.000 eV per atom; uncorrected formation energy = -1.288 eV per atom; raw total energy = -2.674 eV per atom; space group = No. 36
1.0
6.1675 0.0000 0.0000
0.0000 12.1158 -0.1108
0.0000 -2.8117 11.7856
Br Rb Cd
12 6 2
Direct
0.6446 0.9286 0.0714 Br
0.7167 0.6593 0.6623 Br
0.1620 0.1239 0.5791 Br
0.7167 0.3377 0.3407 Br
0.6283 0.2114 0.7886 Br
0.1283 0.7886 0.2114 Br
0.2167 0.6623 0.6593 Br
0.2167 0.3407 0.3377 Br
0.1446 0.0714 0.9286 Br
0.6620 0.5791 0.1239 Br
0.6620 0.8761 0.4209 Br
0.1620 0.4209 0.8761 Br
0.4736 0.3036 0.0652 Rb
0.4736 0.9348 0.6964 Rb
0.9543 0.6176 0.3824 Rb
0.9736 0.6964 0.9348 Rb
0.9736 0.0652 0.3036 Rb
0.4543 0.3824 0.6176 Rb
0.5536 0.7941 0.2059 Cd
0.0536 0.2059 0.7941 Cd

Entry 11:
YTm2Sc3 (PBE, relaxed); E above lowest polymorph = 0.000 eV per atom; raw total energy = -5.676 eV per atom; formation energy = 0.06 eV per atom; space group = No. 12
1.0
-1.2448 -3.9911 -2.3774
4.2308 -5.7777 2.6194
-5.6146 -5.1075 6.6493
Sc Tm Y
6 4 2
Direct
0.2880 0.0382 0.3859 Sc
0.9556 0.7043 0.3846 Sc
0.7120 0.9618 0.6141 Sc
0.6212 0.3725 0.3852 Sc
0.3788 0.6275 0.6148 Sc
0.0444 0.2957 0.6154 Sc
0.7955 0.5434 0.8656 Tm
0.5393 0.7866 0.1347 Tm
0.4607 0.2134 0.8653 Tm
0.2045 0.4566 0.1344 Tm
0.1285 0.8776 0.8655 Y
0.8715 0.1224 0.1345 Y

Entry 12:
Na2AlTlC (PBE, relaxed); raw total energy = -3.213 eV per atom; formation energy = 0.38 eV per atom; space group = No. 123
1.0
-1.8301 4.3707 -2.4441
0.2205 -1.7810 -3.3500
-4.9981 -1.7550 0.6040
Al Na Tl C
1 2 1 1
Direct
0.0000 0.5000 0.0000 Al
0.0000 0.0000 0.5000 Na
0.5000 0.0000 0.0000 Na
0.5000 0.5000 0.5000 Tl
0.0000 0.0000 0.0000 C

Entry 13:
Ti3NbBi (PBE, relaxed); E above lowest polymorph = 0.047 eV per atom; raw total energy = -7.428 eV per atom; formation energy = 0.10 eV per atom; space group = No. 31
1.0
-1.9199 -1.2081 2.0304
4.1041 0.6169 4.2475
-3.8514 9.9486 2.2780
Ti Bi Nb
6 2 2
Direct
0.0496 0.5584 0.5162 Ti
0.5537 0.7990 0.7013 Ti
0.5496 0.0584 0.1311 Ti
0.0537 0.2992 0.9460 Ti
0.5496 0.5403 0.1311 Ti
0.0496 0.0403 0.5161 Ti
0.0556 0.7992 0.9407 Bi
0.5556 0.2990 0.7065 Bi
0.9134 0.2993 0.3112 Nb
0.4134 0.7994 0.3360 Nb

Entry 14:
LiCe2Sm3Te6 (PBE, relaxed); uncorrected formation energy = -1.361 eV per atom; raw total energy = -5.260 eV per atom; space group = No. 12
1.0
-2.8277 1.2250 -3.1713
-6.2572 -5.2936 3.5344
0.0420 7.8565 6.0804
Sm Te Li Ce
3 6 1 2
Direct
0.5000 0.5000 0.0000 Sm
0.1692 0.8306 0.3385 Sm
0.8308 0.1694 0.6615 Sm
0.9985 0.2406 0.9969 Te
0.3347 0.4158 0.6695 Te
0.0015 0.7594 0.0031 Te
0.6609 0.0759 0.3219 Te
0.3391 0.9241 0.6781 Te
0.6653 0.5842 0.3305 Te
0.5000 0.0000 0.0000 Li
0.1670 0.3339 0.3339 Ce
0.8330 0.6661 0.6661 Ce

Entry 15:
Ba2NaPaS4 (PBE, relaxed); uncorrected formation energy = -1.682 eV per atom; raw total energy = -5.578 eV per atom; space group = No. 10
1.0
-1.8939 -0.6098 3.7355
6.3625 -2.3785 2.8376
-0.4780 7.3999 0.9656
Na S Ba Pa
1 4 2 1
Direct
0.0000 0.0000 0.0000 Na
0.5000 0.7396 0.7857 S
0.0000 0.7263 0.2132 S
0.0000 0.2737 0.7868 S
0.5000 0.2604 0.2143 S
0.0000 0.5000 0.5000 Ba
0.5000 0.0000 0.5000 Ba
0.5000 0.5000 0.0000 Pa

Entry 16:
LiFe2CuIr (PBE, relaxed); raw total energy = -5.150 eV per atom; formation energy = 1.21 eV per atom; space group = No. 123
1.0
-2.2173 -3.5005 1.6437
2.1995 0.5871 4.2175
-3.2818 2.7055 1.3349
Ir Fe Li Cu
1 2 1 1
Direct
0.0000 0.0000 0.0000 Ir
0.0000 0.0000 0.5000 Fe
0.5000 0.0000 0.0000 Fe
0.5000 0.5000 0.5000 Li
0.0000 0.5000 0.0000 Cu

Entry 17:
LiZn9Ru2 (PBE, relaxed); raw total energy = -2.810 eV per atom; formation energy = -0.15 eV per atom; space group = No. 123
1.0
3.8017 0.0000 0.0000
0.0000 3.8017 0.0000
0.0000 0.0000 11.6879
Zn Li Ru
9 1 2
Direct
0.5000 0.5000 0.6662 Zn
0.5000 0.5000 0.0000 Zn
0.5000 0.5000 0.3338 Zn
0.5000 0.0000 0.8291 Zn
0.0000 0.5000 0.1709 Zn
0.0000 0.5000 0.8291 Zn
0.5000 0.0000 0.1709 Zn
0.0000 0.5000 0.5000 Zn
0.5000 0.0000 0.5000 Zn
0.0000 0.0000 0.0000 Li
0.0000 0.0000 0.6605 Ru
0.0000 0.0000 0.3395 Ru

Entry 18:
Li2Pr2ThIn2 (PBE, relaxed); raw total energy = -3.942 eV per atom; formation energy = -0.19 eV per atom; space group = No. 166
1.0
4.9623 0.0000 0.0000
2.4811 4.2974 0.0000
2.4811 1.4325 8.9621
Li In Th Pr
2 2 1 2
Direct
0.6049 0.6049 0.1852 Li
0.3951 0.3951 0.8148 Li
0.2664 0.2664 0.2007 In
0.7336 0.7336 0.7993 In
0.0000 0.0000 0.0000 Th
0.1283 0.1283 0.6152 Pr
0.8717 0.8717 0.3848 Pr

Entry 19:
HfReMo2Os (PBE, relaxed); E above lowest polymorph = 0.000 eV per atom; raw total energy = -9.681 eV per atom; formation energy = 1.38 eV per atom; space group = No. 123
1.0
4.7023 0.0000 0.0000
0.0000 4.7023 0.0000
0.0000 0.0000 4.7324
Mo Hf Re Os
2 1 1 1
Direct
0.0000 0.5000 0.0000 Mo
0.5000 0.0000 0.0000 Mo
0.5000 0.5000 0.5000 Hf
0.0000 0.0000 0.5000 Re
0.0000 0.0000 0.0000 Os

Entry 20:
TbTm6Th4 (PBE, relaxed); E above lowest polymorph = 0.000 eV per atom; raw total energy = -5.394 eV per atom; formation energy = 0.16 eV per atom; space group = No. 71
1.0
-2.8946 -0.9659 -1.5045
2.0093 -5.4210 -0.3854
-6.5692 -0.5346 16.8294
Tm Th Tb
6 4 1
Direct
0.8687 0.3687 0.7375 Tm
0.1313 0.6313 0.2626 Tm
0.5962 0.0962 0.1923 Tm
0.2330 0.7330 0.4660 Tm
0.7670 0.2670 0.5340 Tm
0.4038 0.9038 0.8077 Tm
0.8179 0.8179 0.6358 Th
0.4557 0.4557 0.9113 Th
0.1821 0.1821 0.3642 Th
0.5443 0.5443 0.0887 Th
0.0000 0.0000 0.0000 Tb

Entry 21:
Al5Ga2Ag2 (PBE, relaxed); E above lowest polymorph = 0.000 eV per atom; raw total energy = -3.300 eV per atom; formation energy = 0.09 eV per atom; space group = No. 46
1.0
-6.0280 4.8861 -2.4529
-2.9004 -4.8403 -2.5140
1.3373 -1.0636 8.0946
Ga Ag Al
4 4 10
Direct
0.8781 0.3668 0.7957 Ga
0.5824 0.0710 0.2043 Ga
0.4176 0.8668 0.7957 Ga
0.1219 0.5710 0.2043 Ga
0.2855 0.3960 0.5000 Ag
0.7145 0.8960 0.5000 Ag
0.0000 0.0773 0.0000 Ag
0.5000 0.5773 0.0000 Ag
0.4634 0.4716 0.2895 Al
0.5366 0.1821 0.7105 Al
0.3261 0.9716 0.2895 Al
0.9730 0.2349 0.5000 Al
0.2208 0.1995 0.8628 Al
0.0270 0.7349 0.5000 Al
0.1420 0.6995 0.8628 Al
0.8580 0.8367 0.1372 Al
0.6739 0.6821 0.7105 Al
0.7792 0.3367 0.1372 Al

Entry 22:
YHg2Sb (PBE, relaxed); uncorrected formation energy = -0.427 eV per atom; raw total energy = -3.224 eV per atom; space group = No. 71
1.0
-0.3434 4.8322 -3.9986
-4.4001 0.2451 -4.4762
0.4825 -1.0792 6.1693
Hg Y Sb
2 1 1
Direct
0.0001 0.0001 0.0000 Hg
0.4999 0.4999 0.0000 Hg
0.2500 0.7500 0.5000 Y
0.7500 0.2500 0.5000 Sb

Entry 23:
Mo5Ru (PBE, relaxed); E above lowest polymorph = 0.585 eV per atom; raw total energy = -9.909 eV per atom; formation energy = 0.66 eV per atom; space group = No. 191
1.0
2.5660 -4.4445 0.0000
2.5660 4.4445 0.0000
0.0000 0.0000 4.4961
Mo Ru
5 1
Direct
0.5000 0.0000 0.5000 Mo
0.0000 0.5000 0.5000 Mo
0.5000 0.5000 0.5000 Mo
0.3333 0.6667 0.0000 Mo
0.6667 0.3333 0.0000 Mo
0.0000 0.0000 0.0000 Ru

Entry 24:
BaBi3PtRh (PBE, relaxed); raw total energy = -4.806 eV per atom; formation energy = -0.31 eV per atom; space group = No. 63
1.0
-6.4088 -0.6698 -2.8396
-2.3383 -2.8424 5.9479
-0.7674 8.6113 -0.2993
Bi Ba Pt Rh
6 2 2 2
Direct
0.0000 0.7475 0.0000 Bi
0.5000 0.7475 0.0000 Bi
0.2500 0.2559 0.5118 Bi
0.0000 0.2525 0.0000 Bi
0.5000 0.2525 0.0000 Bi
0.7500 0.7441 0.4882 Bi
0.7500 0.3098 0.6196 Ba
0.2500 0.6902 0.3804 Ba
0.7500 0.9145 0.8291 Pt
0.2500 0.0855 0.1709 Pt
0.7500 0.5784 0.1568 Rh
0.2500 0.4216 0.8432 Rh